--- w ---
An optimized crystal structure of CuSnTe2N. Source: Alexandria, functional GGA-PBE.

Output
space group: P4/mmm (123)
crystal system: tetragonal
N(E_F): 6.19 states/eV per cell
calculated volume: 26.7 A^3/atom

Lattice parameters (Å, degrees): 5.8894 5.8894 3.8446 90.00 90.00 90.00
Last column: nearest neighbours and their distance in Å.
Element x y z (fractional)
Te  0.0000  0.5000  0.0000  2 Sn 2.94
Te  0.5000  0.0000  0.0000  2 Sn 2.94
Sn  0.0000  0.0000  0.0000  2 N 1.92
Cu  0.5000  0.5000  0.5000  8 Te 3.52, 2 Cu 3.84
N  0.0000  0.0000  0.5000  2 Sn 1.92

---

--- x ---
An optimized crystal structure of CuSnTe2N. Source: Alexandria, functional GGA-PBE.

Output
space group: P4/mmm (123)
crystal system: tetragonal
N(E_F): 3.51 states/eV per cell
calculated volume: 22.7 A^3/atom

Lattice parameters (Å, degrees): 5.6076 5.6076 3.6049 90.00 90.00 90.00
Last column: nearest neighbours and their distance in Å.
Element x y z (fractional)
Te  0.0000  0.5000  0.0000  2 Cu 2.80
Te  0.5000  0.0000  0.0000  2 Cu 2.80
Sn  0.5000  0.5000  0.5000  8 Te 3.33, 2 Sn 3.60
Cu  0.0000  0.0000  0.0000  2 N 1.80
N  0.0000  0.0000  0.5000  2 Cu 1.80

---

Ranked by calculated energy, most stable first: x, w.

---

--- w ---
An optimized crystal structure of SrCu2N2. Source: Alexandria, functional GGA-PBE.

Output
space group: I4/mmm (139)
crystal system: tetragonal
N(E_F): 1.71 states/eV per cell
calculated volume: 13.6 A^3/atom

Lattice parameters (Å, degrees): 3.9272 3.9272 5.2014 67.82 67.82 90.00
Last column: nearest neighbours and their distance in Å.
Element x y z (fractional)
Sr  0.0000  0.0000  0.0000  2 Cu 2.76, 8 N 2.95
Cu  0.3136  0.3136  0.3728  4 N 2.04
Cu  0.6864  0.6864  0.6272  4 N 2.04
N  0.7500  0.2500  0.5000  4 Cu 2.04
N  0.2500  0.7500  0.5000  4 Cu 2.04

---

--- x ---
An optimized crystal structure of SrCu2N2. Source: Alexandria, functional GGA-PBE.

Output
space group: P4/mbm (127)
crystal system: tetragonal
N(E_F): 4.06 states/eV per cell
calculated volume: 17.7 A^3/atom

Lattice parameters (Å, degrees): 7.1490 7.1490 3.4648 90.00 90.00 90.00
Last column: nearest neighbours and their distance in Å.
Element x y z (fractional)
Sr  0.0000  0.0000  0.0000  4 Cu 2.87, 8 N 3.21
Sr  0.5000  0.5000  0.0000  4 Cu 2.87, 8 N 3.21
Cu  0.3852  0.8852  0.0000  2 N 1.78
Cu  0.8852  0.6148  0.0000  2 N 1.78
Cu  0.6148  0.1148  0.0000  2 N 1.78
Cu  0.1148  0.3852  0.0000  2 N 1.78
N  0.3455  0.8455  0.5000  2 Cu 1.78
N  0.8455  0.6545  0.5000  2 Cu 1.78
N  0.6545  0.1545  0.5000  2 Cu 1.78
N  0.1545  0.3455  0.5000  2 Cu 1.78

---

Ranked by calculated energy, most stable first: w, x.

---

--- w ---
An optimized crystal structure of Sr2Cu2N. Source: Alexandria, functional GGA-PBE.

Output
space group: P4/mbm (127)
crystal system: tetragonal
N(E_F): 3.66 states/eV per cell
calculated volume: 21.0 A^3/atom

Lattice parameters (Å, degrees): 7.0686 7.0686 4.2106 90.00 90.00 90.00
Last column: nearest neighbours and their distance in Å.
Element x y z (fractional)
Sr  0.1938  0.6938  0.5000  6 Cu 2.84-3.08
Sr  0.6938  0.8062  0.5000  6 Cu 2.84-3.08
Sr  0.8062  0.3062  0.5000  6 Cu 2.84-3.08
Sr  0.3062  0.1938  0.5000  6 Cu 2.84-3.08
Cu  0.3846  0.8846  0.0000  1 Cu 2.31
Cu  0.8846  0.6154  0.0000  1 Cu 2.31
Cu  0.6154  0.1154  0.0000  1 Cu 2.31
Cu  0.1154  0.3846  0.0000  1 Cu 2.31
N  0.0000  0.0000  0.0000  4 Cu 2.84
N  0.5000  0.5000  0.0000  4 Cu 2.84

---

--- x ---
An optimized crystal structure of Sr2Cu2N. Source: Alexandria, functional GGA-PBE.

Output
space group: I4/mmm (139)
crystal system: tetragonal
N(E_F): 2.62 states/eV per cell
calculated volume: 21.2 A^3/atom

Lattice parameters (Å, degrees): 5.8083 5.8083 5.1673 55.80 55.80 90.00
Last column: nearest neighbours and their distance in Å.
Element x y z (fractional)
Sr  0.7500  0.2500  0.5000  4 Cu 2.93, 2 Sr 3.14
Sr  0.2500  0.7500  0.5000  4 Cu 2.93, 2 Sr 3.14
Cu  0.3062  0.3062  0.3876  1 N 1.92
Cu  0.6938  0.6938  0.6124  1 N 1.92
N  0.0000  0.0000  0.0000  2 Cu 1.92

---

Ranked by calculated energy, most stable first: x, w.

---

--- w ---
An optimized crystal structure of Sr2ZnCuN. Source: Alexandria, functional GGA-PBE.

Output
space group: P4/mmm (123)
crystal system: tetragonal
N(E_F): 3.98 states/eV per cell
calculated volume: 22.2 A^3/atom

Lattice parameters (Å, degrees): 5.4224 5.4224 3.7819 90.00 90.00 90.00
Last column: nearest neighbours and their distance in Å.
Element x y z (fractional)
Sr  0.0000  0.5000  0.0000  2 N 2.71
Sr  0.5000  0.0000  0.0000  2 N 2.71
Zn  0.5000  0.5000  0.5000  8 Sr 3.31
Cu  0.0000  0.0000  0.5000  2 N 1.89
N  0.0000  0.0000  0.0000  2 Cu 1.89

---

--- x ---
An optimized crystal structure of Sr2ZnCuN. Source: Alexandria, functional GGA-PBE.

Output
space group: P4/mmm (123)
crystal system: tetragonal
N(E_F): 3.68 states/eV per cell
calculated volume: 22.5 A^3/atom

Lattice parameters (Å, degrees): 5.3341 5.3341 3.9612 90.00 90.00 90.00
Last column: nearest neighbours and their distance in Å.
Element x y z (fractional)
Sr  0.0000  0.5000  0.0000  2 N 2.67
Sr  0.5000  0.0000  0.0000  2 N 2.67
Zn  0.0000  0.0000  0.5000  2 N 1.98
Cu  0.5000  0.5000  0.5000  8 Sr 3.32
N  0.0000  0.0000  0.0000  2 Zn 1.98

---

Ranked by calculated energy, most stable first: w, x.

---

--- w ---
An optimized crystal structure of TaCuN2. Source: Alexandria, functional GGA-PBE.

Output
space group: R-3m (166)
crystal system: trigonal
N(E_F): 0.00 states/eV per cell
calculated volume: 12.6 A^3/atom

Lattice parameters (Å, degrees): 6.1251 6.1251 6.1251 29.84 29.84 29.84
Last column: nearest neighbours and their distance in Å.
Element x y z (fractional)
N  0.8940  0.8940  0.8940  1 Cu 1.86
N  0.1060  0.1060  0.1060  1 Cu 1.86
Cu  0.0000  0.0000  0.0000  2 N 1.86
Ta  0.5000  0.5000  0.5000  6 N 2.11

---

--- x ---
An optimized crystal structure of TaCuN2. Source: Alexandria, functional GGA-PBE.

Output
space group: R-3m (166)
crystal system: trigonal
N(E_F): 0.00 states/eV per cell
calculated volume: 10.9 A^3/atom

Lattice parameters (Å, degrees): 5.3587 5.3587 5.3587 34.24 34.24 34.24
Last column: nearest neighbours and their distance in Å.
Element x y z (fractional)
Ta  0.5000  0.5000  0.5000  6 N 2.12
Cu  0.0000  0.0000  0.0000  6 N 2.32
N  0.7617  0.7617  0.7617  3 Ta 2.12, 3 Cu 2.32
N  0.2383  0.2383  0.2383  3 Ta 2.12, 3 Cu 2.32

---

Ranked by calculated energy, most stable first: w, x.

---

--- w ---
An optimized crystal structure of Ta2Cu2N. Source: Alexandria, functional GGA-PBE.

Output
space group: I4/mmm (139)
crystal system: tetragonal
N(E_F): 2.50 states/eV per cell
calculated volume: 13.5 A^3/atom

Lattice parameters (Å, degrees): 3.0625 3.0625 7.5006 78.22 78.22 90.00
Last column: nearest neighbours and their distance in Å.
Element x y z (fractional)
N  0.0000  0.0000  0.0000  8 Ta 2.53
Cu  0.7500  0.2500  0.5000  4 Cu 2.17
Cu  0.2500  0.7500  0.5000  4 Cu 2.17
Ta  0.4089  0.4089  0.1823  4 N 2.53, 1 Ta 2.62, 4 Cu 2.75
Ta  0.5911  0.5911  0.8177  4 N 2.53, 1 Ta 2.62, 4 Cu 2.75

---

--- x ---
An optimized crystal structure of Ta2Cu2N. Source: Alexandria, functional GGA-PBE.

Output
space group: P4/mbm (127)
crystal system: tetragonal
N(E_F): 6.07 states/eV per cell
calculated volume: 14.5 A^3/atom

Lattice parameters (Å, degrees): 5.6748 5.6748 4.5072 90.00 90.00 90.00
Last column: nearest neighbours and their distance in Å.
Element x y z (fractional)
N  0.0000  0.0000  0.0000  4 Ta 2.10
N  0.5000  0.5000  0.0000  4 Ta 2.10
Cu  0.1464  0.6464  0.5000  1 Cu 2.35
Cu  0.6464  0.8536  0.5000  1 Cu 2.35
Cu  0.8536  0.3536  0.5000  1 Cu 2.35
Cu  0.3536  0.1464  0.5000  1 Cu 2.35
Ta  0.3266  0.8266  0.0000  2 N 2.10
Ta  0.8266  0.6734  0.0000  2 N 2.10
Ta  0.6734  0.1734  0.0000  2 N 2.10
Ta  0.1734  0.3266  0.0000  2 N 2.10

---

Ranked by calculated energy, most stable first: x, w.

---

--- w ---
An optimized crystal structure of CuTc3N. Source: Alexandria, functional GGA-PBE.

Output
space group: Pm-3m (221)
crystal system: cubic
N(E_F): 6.28 states/eV per cell
calculated volume: 17.6 A^3/atom

Lattice parameters (Å, degrees): 4.4520 4.4520 4.4520 90.00 90.00 90.00
Last column: nearest neighbours and their distance in Å.
Element x y z (fractional)
Tc  0.0000  0.5000  0.0000  2 Cu 2.23
Tc  0.0000  0.0000  0.5000  2 Cu 2.23
Tc  0.5000  0.0000  0.0000  2 Cu 2.23
Cu  0.0000  0.0000  0.0000  6 Tc 2.23
N  0.5000  0.5000  0.5000  12 Tc 3.15

---

--- x ---
An optimized crystal structure of CuTc3N. Source: Alexandria, functional GGA-PBE.

Output
space group: Pm-3m (221)
crystal system: cubic
N(E_F): 3.69 states/eV per cell
calculated volume: 12.9 A^3/atom

Lattice parameters (Å, degrees): 4.0102 4.0102 4.0102 90.00 90.00 90.00
Last column: nearest neighbours and their distance in Å.
Element x y z (fractional)
Tc  0.0000  0.5000  0.0000  2 N 2.01
Tc  0.0000  0.0000  0.5000  2 N 2.01
Tc  0.5000  0.0000  0.0000  2 N 2.01
Cu  0.5000  0.5000  0.5000  12 Tc 2.84
N  0.0000  0.0000  0.0000  6 Tc 2.01

---

Ranked by calculated energy, most stable first: x, w.

---

--- w ---
An optimized crystal structure of CuTcN2. Source: Alexandria, functional GGA-PBE.

Output
space group: Fm-3m (225)
crystal system: cubic
N(E_F): 2.22 states/eV per cell
calculated volume: 9.2 A^3/atom

Lattice parameters (Å, degrees): 3.7335 3.7335 3.7335 60.00 60.00 60.00
Last column: nearest neighbours and their distance in Å.
Element x y z (fractional)
Tc  0.5000  0.5000  0.5000  8 N 2.29
Cu  0.0000  0.0000  0.0000  8 N 2.29
N  0.2500  0.2500  0.2500  4 Tc 2.29, 4 Cu 2.29
N  0.7500  0.7500  0.7500  4 Tc 2.29, 4 Cu 2.29

---

--- x ---
An optimized crystal structure of CuTcN2. Source: Alexandria, functional GGA-PBE.

Output
space group: R-3m (166)
crystal system: trigonal
N(E_F): 3.25 states/eV per cell
calculated volume: 11.1 A^3/atom

Lattice parameters (Å, degrees): 6.2517 6.2517 6.2517 26.94 26.94 26.94
Last column: nearest neighbours and their distance in Å.
Element x y z (fractional)
Tc  0.0000  0.0000  0.0000  2 N 1.87
Cu  0.5000  0.5000  0.5000  6 N 2.03
N  0.8962  0.8962  0.8962  1 Tc 1.87, 3 Cu 2.03
N  0.1038  0.1038  0.1038  1 Tc 1.87, 3 Cu 2.03

---

Ranked by calculated energy, most stable first: x, w.

---

--- w ---
An optimized crystal structure of CuTcN2. Source: Alexandria, functional GGA-PBE.

Output
space group: I-42d (122)
crystal system: tetragonal
N(E_F): 0.36 states/eV per cell
calculated volume: 11.9 A^3/atom

Lattice parameters (Å, degrees): 4.5731 4.5731 5.5718 65.77 65.77 90.00
Last column: nearest neighbours and their distance in Å.
Element x y z (fractional)
Tc  0.0000  0.0000  0.0000  4 N 1.92
Tc  0.7500  0.2500  0.5000  4 N 1.92
Cu  0.5000  0.5000  0.0000  4 N 2.04
Cu  0.2500  0.7500  0.5000  4 N 2.04
N  0.6471  0.1250  0.2500  2 Tc 1.92, 2 Cu 2.04
N  0.1029  0.6250  0.2500  2 Tc 1.92, 2 Cu 2.04
N  0.3750  0.3529  0.7500  2 Tc 1.92, 2 Cu 2.04
N  0.8750  0.8971  0.7500  2 Tc 1.92, 2 Cu 2.04

---

--- x ---
An optimized crystal structure of CuTcN2. Source: Alexandria, functional GGA-PBE.

Output
space group: R-3m (166)
crystal system: trigonal
N(E_F): 1.44 states/eV per cell
calculated volume: 10.9 A^3/atom

Lattice parameters (Å, degrees): 6.4481 6.4481 6.4481 25.49 25.49 25.49
Last column: nearest neighbours and their distance in Å.
Element x y z (fractional)
Tc  0.5000  0.5000  0.5000  6 N 2.07
Cu  0.0000  0.0000  0.0000  2 N 1.85
N  0.9009  0.9009  0.9009  1 Cu 1.85, 3 Tc 2.07
N  0.0991  0.0991  0.0991  1 Cu 1.85, 3 Tc 2.07

---

Ranked by calculated energy, most stable first: w, x.

---

--- w ---
An optimized crystal structure of CuTcTe2N. Source: Alexandria, functional GGA-PBE.

Output
space group: P4/mmm (123)
crystal system: tetragonal
N(E_F): 5.11 states/eV per cell
calculated volume: 19.2 A^3/atom

Lattice parameters (Å, degrees): 5.2633 5.2633 3.4715 90.00 90.00 90.00
Last column: nearest neighbours and their distance in Å.
Element x y z (fractional)
Te  0.0000  0.5000  0.0000  2 Cu 2.63
Te  0.5000  0.0000  0.0000  2 Cu 2.63
Tc  0.5000  0.5000  0.5000  8 Te 3.15, 2 Tc 3.47
Cu  0.0000  0.0000  0.0000  2 N 1.74
N  0.0000  0.0000  0.5000  2 Cu 1.74

---

--- x ---
An optimized crystal structure of CuTcTe2N. Source: Alexandria, functional GGA-PBE.

Output
space group: P4/mmm (123)
crystal system: tetragonal
N(E_F): 2.27 states/eV per cell
calculated volume: 21.2 A^3/atom

Lattice parameters (Å, degrees): 5.3590 5.3590 3.6877 90.00 90.00 90.00
Last column: nearest neighbours and their distance in Å.
Element x y z (fractional)
Te  0.0000  0.5000  0.0000  2 Tc 2.68
Te  0.5000  0.0000  0.0000  2 Tc 2.68
Tc  0.0000  0.0000  0.0000  2 N 1.84
Cu  0.5000  0.5000  0.5000  8 Te 3.25
N  0.0000  0.0000  0.5000  2 Tc 1.84

---

Ranked by calculated energy, most stable first: x, w.

---

--- w ---
An optimized crystal structure of Cu3TeN. Source: Alexandria, functional GGA-PBE.

Output
space group: Pm-3m (221)
crystal system: cubic
N(E_F): 3.81 states/eV per cell
calculated volume: 13.9 A^3/atom

Lattice parameters (Å, degrees): 4.1143 4.1143 4.1143 90.00 90.00 90.00
Last column: nearest neighbours and their distance in Å.
Element x y z (fractional)
Te  0.5000  0.5000  0.5000  12 Cu 2.91
Cu  0.0000  0.5000  0.0000  2 N 2.06
Cu  0.0000  0.0000  0.5000  2 N 2.06
Cu  0.5000  0.0000  0.0000  2 N 2.06
N  0.0000  0.0000  0.0000  6 Cu 2.06

---

--- x ---
An optimized crystal structure of Cu3TeN. Source: Alexandria, functional GGA-PBE.

Output
space group: Pm-3m (221)
crystal system: cubic
N(E_F): 13.64 states/eV per cell
calculated volume: 22.2 A^3/atom

Lattice parameters (Å, degrees): 4.8057 4.8057 4.8057 90.00 90.00 90.00
Last column: nearest neighbours and their distance in Å.
Element x y z (fractional)
Te  0.0000  0.0000  0.0000  6 Cu 2.40
Cu  0.0000  0.5000  0.0000  2 Te 2.40
Cu  0.0000  0.0000  0.5000  2 Te 2.40
Cu  0.5000  0.0000  0.0000  2 Te 2.40
N  0.5000  0.5000  0.5000  12 Cu 3.40

---

Ranked by calculated energy, most stable first: w, x.

---

--- w ---
An optimized crystal structure of TlCuTe2N. Source: Alexandria, functional GGA-PBE.

Output
space group: P4/mmm (123)
crystal system: tetragonal
N(E_F): 8.68 states/eV per cell
calculated volume: 28.2 A^3/atom

Lattice parameters (Å, degrees): 5.9171 5.9171 4.0272 90.00 90.00 90.00
Last column: nearest neighbours and their distance in Å.
Element x y z (fractional)
Tl  0.0000  0.0000  0.0000  2 N 2.01
Te  0.0000  0.5000  0.0000  2 Tl 2.96
Te  0.5000  0.0000  0.0000  2 Tl 2.96
Cu  0.5000  0.5000  0.5000  8 Te 3.58
N  0.0000  0.0000  0.5000  2 Tl 2.01

---

--- x ---
An optimized crystal structure of TlCuTe2N. Source: Alexandria, functional GGA-PBE.

Output
space group: P4/mmm (123)
crystal system: tetragonal
N(E_F): 4.87 states/eV per cell
calculated volume: 24.3 A^3/atom

Lattice parameters (Å, degrees): 5.8861 5.8861 3.5041 90.00 90.00 90.00
Last column: nearest neighbours and their distance in Å.
Element x y z (fractional)
Tl  0.5000  0.5000  0.5000  8 Te 3.43, 2 Tl 3.50
Te  0.0000  0.5000  0.0000  2 Cu 2.94
Te  0.5000  0.0000  0.0000  2 Cu 2.94
Cu  0.0000  0.0000  0.0000  2 N 1.75
N  0.0000  0.0000  0.5000  2 Cu 1.75

---

Ranked by calculated energy, most stable first: x, w.